Entry 1:
DFT (PBEsol) results for Y2MoOs after structural relaxation.

mass density: 10.088 g/cm3
volume: 19.094 Å³/atom
electronic total energy: -35.91 eV/f.u.

Structure (POSCAR):
```
Y2MoOs
1.0
2.972 -4.548 0.000
2.972 4.548 0.000
-1.110 0.000 2.826
Y Mo Os
2 1 1
Cartesian
1.486 2.274 0.000
1.486 -2.274 0.000
-0.555 0.000 1.413
2.417 0.000 1.413
```


Entry 2:
DFT (PBEsol) results for ZnMoOs2 after structural relaxation.

mass density: 16.004 g/cm3
volume: 14.054 Å³/atom
electronic total energy: -36.86 eV/f.u.

Structure (POSCAR):
```
ZnMoOs2
1.0
-1.550 2.096 4.325
1.550 -2.096 4.325
1.550 2.096 -4.325
Zn Mo Os
1 1 2
Cartesian
0.000 0.000 0.000
1.550 0.000 2.168
0.000 0.000 4.334
0.000 2.096 2.224
```


Entry 3:
DFT (PBEsol) results for ZrMoOs2 after structural relaxation.

mass density: 14.737 g/cm3
energy above the lowest structure with this stoichiometry: 20 meV per atom
volume: 15.990 Å³/atom

Structure (POSCAR):
```
ZrMoOs2
1.0
4.815 -1.429 0.000
4.815 1.429 0.000
-0.882 0.000 4.647
Zr Mo Os
1 1 2
Cartesian
0.000 0.000 0.000
1.521 0.000 3.171
4.192 0.000 2.297
7.127 0.000 1.030
```


Entry 4:
DFT (PBEsol) results for ZrMoOs2 after structural relaxation.

mass density: 14.865 g/cm3
energy above the lowest structure with this stoichiometry: 0 meV per atom
volume: 15.852 Å³/atom

Structure (POSCAR):
```
ZrMoOs2
1.0
0.000 3.165 3.165
3.165 0.000 3.165
3.165 3.165 0.000
Zr Mo Os
1 1 2
Cartesian
0.000 0.000 0.000
3.165 3.165 3.165
1.582 1.582 1.582
4.747 4.747 4.747
```


Entry 5:
DFT (PBEsol) results for Mo3P2 after structural relaxation.

mass density: 8.195 g/cm3
volume: 14.174 Å³/atom
electronic total energy: -47.38 eV/f.u.

Structure (POSCAR):
```
Mo3P2
1.0
1.458 0.842 9.622
-1.458 0.842 9.622
0.000 -1.684 9.622
Mo P
3 2
Cartesian
0.000 0.000 0.000
0.000 0.000 5.931
0.000 0.000 22.935
0.000 0.000 11.498
0.000 0.000 17.368
```


Entry 6:
DFT (PBEsol) results for Mo4P after structural relaxation.

mass density: 8.240 g/cm3
volume: 16.715 Å³/atom
electronic total energy: -49.05 eV/f.u.

Structure (POSCAR):
```
Mo4P
1.0
-2.754 2.754 2.754
2.754 -2.754 2.754
2.754 2.754 -2.754
Mo P
4 1
Cartesian
1.377 1.377 -1.377
1.377 -1.377 1.377
-1.377 1.377 1.377
1.377 1.377 1.377
0.000 0.000 0.000
```


The records above yield magnetic moment values of 0.00 0.00 0.00 0.00 0.00 0.00 Bohr magnetons per cell, respectively.